Here is a relaxed structure of NiB2I from Alexandria. Energies are from PBE.

Computed properties:
For the formation energy (no corrections), the calculation gives 3.45 eV/f.u.

Cell: 3.938 3.938 14.172 Å, 90.00 90.00 90.00°
Space group I4_1/amd (No. 141, origin choice 2)
Symmetry-distinct sites (fractional):
Ni (0.000, 0.250, 0.375) (multiplicity 4)
B (0.000, 0.000, 0.500) (multiplicity 8)
I (0.000, 0.250, 0.875) (multiplicity 4)